[1]
# Sm3Dy2Ag2 (GGA-PBE, relaxed)
data_Sm3Dy2Ag2
_chemical_formula_sum 'Sm6 Dy4 Ag4'
_cell_length_a 13.031
_cell_length_b 3.751
_cell_length_c 9.267
_cell_angle_alpha 90.00
_cell_angle_beta 115.50
_cell_angle_gamma 90.00
_space_group_name_H-M_alt 'C 1 2/m 1'
_space_group_IT_number 12
_space_group_name_Hall '-C 2y'
loop_
_atom_site_label
_atom_site_type_symbol
_atom_site_fract_x
_atom_site_fract_y
_atom_site_fract_z
Sm1 Sm 0.000 0.000 0.000
Sm2 Sm 0.110 0.000 0.446
Dy1 Dy 0.147 0.500 0.813
Ag1 Ag 0.176 0.500 0.224
# Total magnetization = 0.00 μB/f.u.
# ρ = 8.06 g/cm3
# E = -59.8 eV/cell


[2]
# Sm2DyAg6 (GGA-PBE, relaxed)
data_Sm2DyAg6
_chemical_formula_sum 'Sm2 Dy1 Ag6'
_cell_length_a 8.2838
_cell_length_b 8.2838
_cell_length_c 3.4814
_cell_angle_alpha 90.00
_cell_angle_beta 90.00
_cell_angle_gamma 120.00
_space_group_name_H-M_alt 'P 6/m m m'
_space_group_IT_number 191
_space_group_name_Hall '-P 6 2'
loop_
_atom_site_label
_atom_site_type_symbol
_atom_site_fract_x
_atom_site_fract_y
_atom_site_fract_z
Sm1 Sm 0.3333 0.6667 0.0000
Dy1 Dy 0.0000 0.0000 0.0000
Ag1 Ag 0.0000 0.3320 0.5000
# Total magnetization = 0.00 μB/f.u.
# ρ = 8.91 g/cm3
# E = -33.4 eV/cell


[3]
# Sm4Dy3Ag4 (GGA-PBE, relaxed)
data_Sm4Dy3Ag4
_chemical_formula_sum 'Sm8 Dy6 Ag8'
_cell_length_a 3.666
_cell_length_b 9.425
_cell_length_c 17.839
_cell_angle_alpha 90.00
_cell_angle_beta 90.00
_cell_angle_gamma 90.00
_space_group_name_H-M_alt 'I m m m'
_space_group_IT_number 71
_space_group_name_Hall '-I 2 2'
loop_
_atom_site_label
_atom_site_type_symbol
_atom_site_fract_x
_atom_site_fract_y
_atom_site_fract_z
Sm1 Sm 0.000 0.186 0.160
Dy1 Dy 0.000 0.000 0.399
Dy2 Dy 0.000 0.500 0.500
Ag1 Ag 0.000 0.309 0.000
Ag2 Ag 0.000 0.500 0.239
# Total magnetization = 0.00 μB/f.u.
# ρ = 8.19 g/cm3
# E = -90.5 eV/cell


[4]
# SmDy3Ag (GGA-PBE, relaxed)
data_SmDy3Ag
_chemical_formula_sum 'Sm4 Dy12 Ag4'
_cell_length_a 11.449
_cell_length_b 8.345
_cell_length_c 7.735
_cell_angle_alpha 90.00
_cell_angle_beta 120.97
_cell_angle_gamma 90.00
_space_group_name_H-M_alt 'C 1 2/m 1'
_space_group_IT_number 12
_space_group_name_Hall '-C 2y'
loop_
_atom_site_label
_atom_site_type_symbol
_atom_site_fract_x
_atom_site_fract_y
_atom_site_fract_z
Sm1 Sm 0.082 0.000 0.266
Dy1 Dy 0.055 0.500 0.311
Dy2 Dy 0.176 0.207 0.693
Ag1 Ag 0.245 0.000 0.054
# Total magnetization = 0.00 μB/f.u.
# ρ = 7.82 g/cm3
# E = -84.4 eV/cell